# 1
A relaxed structure of CoSbTe. Source: the Alexandria database, functional PBE.

```
data_CoSbTe
_cell_length_a 3.7544
_cell_length_b 3.7544
_cell_length_c 5.4481
_cell_angle_alpha 90.00
_cell_angle_beta 90.00
_cell_angle_gamma 120.00
_symmetry_space_group_name_H-M 'P 3 m 1'
_symmetry_Int_Tables_number 156
loop_
_symmetry_equiv_pos_as_xyz
'x,y,z'
'-y,x-y,z'
'-x+y,-x,z'
'-y,-x,z'
'-x+y,y,z'
'x,x-y,z'
loop_
_atom_site_label
_atom_site_type_symbol
_atom_site_fract_x
_atom_site_fract_y
_atom_site_fract_z
Co1 Co 0.0000 0.0000 0.0000
Sb1 Sb 0.3333 0.6667 0.2529
Te1 Te 0.6667 0.3333 0.7601
```

Calculated values
Crystal system ... trigonal
M_tot ... 0.0 Bohr magnetons per cell
Formation energy without anion corrections ... -1.62 kcal/mol of atoms

***

# 2
A relaxed structure of CoSb2Te. Source: the Alexandria database, functional PBE.

```
data_CoSb2Te
_cell_length_a 5.022
_cell_length_b 9.762
_cell_length_c 3.924
_cell_angle_alpha 90.00
_cell_angle_beta 90.00
_cell_angle_gamma 90.00
_symmetry_space_group_name_H-M 'C m m m'
_symmetry_Int_Tables_number 65
_symmetry_space_group_name_Hall '-C 2 2'
loop_
_atom_site_label
_atom_site_type_symbol
_atom_site_fract_x
_atom_site_fract_y
_atom_site_fract_z
Co1 Co 0.000 0.000 0.000
Sb1 Sb 0.000 0.170 0.500
Te1 Te 0.000 0.500 0.000
```

Calculated values
Crystal system ... orthorhombic
M_tot ... 0.0 Bohr magnetons per cell
Formation energy without anion corrections ... 0.10 kcal/mol of atoms

***

# 3
A relaxed structure of CoSb2Te. Source: the Alexandria database, functional PBE.

```
data_CoSb2Te
_cell_length_a 6.321
_cell_length_b 8.099
_cell_length_c 3.652
_cell_angle_alpha 90.00
_cell_angle_beta 90.00
_cell_angle_gamma 90.00
_symmetry_space_group_name_H-M 'C m m m'
_symmetry_Int_Tables_number 65
_symmetry_space_group_name_Hall '-C 2 2'
loop_
_atom_site_label
_atom_site_type_symbol
_atom_site_fract_x
_atom_site_fract_y
_atom_site_fract_z
Co1 Co 0.000 0.000 0.000
Sb1 Sb 0.250 0.250 0.500
Te1 Te 0.000 0.500 0.000
```

Calculated values
Crystal system ... orthorhombic
M_tot ... 2.5 Bohr magnetons per cell
Formation energy without anion corrections ... 13.84 kcal/mol of atoms